1.
4
Lattice="5.148 0.000 0.000 0.000 5.148 0.000 0.000 0.000 4.491" Properties=species:S:1:pos:R:3 comment="PBE Sm2BiPb, relaxed" de_polymorph_mev_per_atom=169.9 crystal_system=tetragonal rho_g_cm3=10.00 pbc="T T T"
Sm 0.000 2.574 0.000
Sm 2.574 0.000 0.000
Bi 0.000 0.000 2.246
Pb 2.574 2.574 2.246


2.
12
Lattice="3.529 0.000 0.000 -1.765 3.057 0.000 0.000 0.000 36.846" Properties=species:S:1:pos:R:3 comment="PBE SmBiPb2, relaxed" crystal_system=trigonal rho_g_cm3=9.70 pbc="T T T"
Sm 0.000 0.000 0.000
Sm 0.000 2.038 24.564
Sm 1.765 1.019 12.282
Bi 0.000 0.000 18.423
Bi 0.000 2.038 6.141
Bi 1.765 1.019 30.705
Pb 0.000 0.000 3.221
Pb 0.000 0.000 33.625
Pb 0.000 2.038 21.343
Pb 0.000 2.038 27.785
Pb 1.765 1.019 9.061
Pb 1.765 1.019 15.503


3.
12
Lattice="4.518 0.000 0.000 0.000 6.540 0.000 0.000 0.000 14.090" Properties=species:S:1:pos:R:3 comment="PBE Sm2Bi3Pb, relaxed" crystal_system=orthorhombic rho_g_cm3=9.05 pbc="T T T"
Sm 0.000 0.000 2.295
Sm 0.000 0.000 11.795
Sm 2.259 3.270 4.750
Sm 2.259 3.270 9.340
Bi 0.000 3.270 2.462
Bi 0.000 3.270 7.045
Bi 0.000 3.270 11.628
Bi 2.259 0.000 0.000
Bi 2.259 0.000 4.583
Bi 2.259 0.000 9.508
Pb 0.000 0.000 7.045
Pb 2.259 3.270 0.000


4.
12
Lattice="4.417 0.000 0.000 -2.208 3.825 0.000 0.000 0.000 23.506" Properties=species:S:1:pos:R:3 comment="PBE Sm2BiPb, relaxed" de_polymorph_mev_per_atom=66.2 crystal_system=trigonal rho_g_cm3=8.99 pbc="T T T"
Sm 0.000 0.000 5.839
Sm 0.000 0.000 17.667
Sm 0.000 2.550 9.832
Sm 0.000 2.550 21.510
Sm 2.208 1.275 1.996
Sm 2.208 1.275 13.675
Bi 0.000 0.000 11.753
Bi 0.000 2.550 3.918
Bi 2.208 1.275 19.589
Pb 0.000 0.000 0.000
Pb 0.000 2.550 15.671
Pb 2.208 1.275 7.835


5.
16
Lattice="-4.215 4.215 7.057 4.215 -4.215 7.057 4.215 4.215 -7.057" Properties=species:S:1:pos:R:3 comment="PBE Sm5BiPb2, relaxed" crystal_system=tetragonal rho_g_cm3=9.11 pbc="T T T"
Sm 0.000 0.000 0.000
Sm 5.532 1.316 -2.129
Sm 1.316 2.899 -2.129
Sm 5.532 1.316 2.129
Sm 1.316 2.899 2.129
Sm 0.000 0.000 7.057
Sm 2.899 1.316 4.928
Sm -1.316 2.899 4.928
Sm 2.899 1.316 9.187
Sm -1.316 2.899 9.187
Bi 0.000 0.000 3.529
Bi 0.000 0.000 10.586
Pb 2.996 1.219 0.000
Pb 2.996 -1.219 7.057
Pb 1.219 5.435 0.000
Pb 1.219 2.996 7.057


6.
18
Lattice="7.996 -4.221 0.000 7.996 4.221 0.000 0.000 0.000 8.480" Properties=species:S:1:pos:R:3 comment="PBE Sm5Bi2Pb2, relaxed" de_polymorph_mev_per_atom=0.0 crystal_system=orthorhombic rho_g_cm3=9.19 pbc="T T T"
Sm 0.000 0.000 0.000
Sm 5.847 2.819 5.625
Sm 5.847 1.402 1.385
Sm 10.145 2.819 5.625
Sm 10.145 1.402 1.385
Sm 7.996 0.000 4.240
Sm 5.847 -1.402 7.095
Sm 5.847 -2.819 2.855
Sm 10.145 -1.402 7.095
Sm 10.145 -2.819 2.855
Bi 3.251 0.000 0.000
Bi 4.745 0.000 4.240
Bi 11.248 0.000 4.240
Bi 12.741 0.000 0.000
Pb 7.996 3.056 3.070
Pb 7.996 1.165 7.311
Pb 7.996 -1.165 1.170
Pb 7.996 -3.056 5.410


7.
14
Lattice="-5.004 5.004 4.904 5.004 -5.004 4.904 5.004 5.004 -4.904" Properties=species:S:1:pos:R:3 comment="PBE Sm4Bi2Pb, relaxed" crystal_system=tetragonal rho_g_cm3=8.29 pbc="T T T"
Sm 3.109 2.502 -0.602
Sm 6.900 2.502 -0.602
Sm 0.000 0.607 1.850
Sm 5.004 0.607 3.054
Sm 0.000 4.398 1.850
Sm 5.004 4.398 3.054
Sm -1.896 2.502 5.506
Sm 1.896 2.502 5.506
Bi 5.004 0.000 0.000
Bi -2.502 2.502 2.452
Bi 0.000 0.000 4.904
Bi 2.502 2.502 2.452
Pb 5.004 -2.502 3.678
Pb 0.000 7.507 1.226


8.
14
Lattice="4.553 -5.291 0.000 4.553 5.291 0.000 0.000 0.000 9.721" Properties=species:S:1:pos:R:3 comment="PBE SmBi3Pb3, relaxed" crystal_system=orthorhombic rho_g_cm3=9.92 pbc="T T T"
Sm 4.553 3.050 0.000
Sm 4.553 -3.050 0.000
Bi 0.000 0.000 2.465
Bi 0.000 0.000 7.256
Bi 2.276 2.646 2.391
Bi 2.276 2.646 7.330
Bi 2.276 -2.646 2.391
Bi 2.276 -2.646 7.330
Pb 4.553 2.612 4.860
Pb 2.450 0.000 4.860
Pb 2.749 0.000 0.000
Pb 6.357 0.000 0.000
Pb 6.655 0.000 4.860
Pb 4.553 -2.612 4.860


9.
16
Lattice="7.880 0.000 0.000 0.000 7.880 0.000 0.000 0.000 7.880" Properties=species:S:1:pos:R:3 comment="PBE Sm2BiPb, relaxed" de_polymorph_mev_per_atom=223.2 crystal_system=cubic rho_g_cm3=9.73 pbc="T T T"
Sm 1.970 1.970 1.970
Sm 1.970 1.970 5.910
Sm 1.970 5.910 1.970
Sm 1.970 5.910 5.910
Sm 5.910 1.970 1.970
Sm 5.910 1.970 5.910
Sm 5.910 5.910 1.970
Sm 5.910 5.910 5.910
Bi 0.000 0.000 0.000
Bi 0.000 3.940 3.940
Bi 3.940 0.000 3.940
Bi 3.940 3.940 0.000
Pb 0.000 0.000 3.940
Pb 0.000 3.940 0.000
Pb 3.940 0.000 0.000
Pb 3.940 3.940 3.940


10.
12
Lattice="4.328 0.000 0.000 -2.164 3.748 0.000 0.000 0.000 24.913" Properties=species:S:1:pos:R:3 comment="PBE Sm2BiPb, relaxed" de_polymorph_mev_per_atom=165.1 crystal_system=trigonal rho_g_cm3=8.84 pbc="T T T"
Sm 0.000 0.000 0.000
Sm 0.000 0.000 4.376
Sm 0.000 2.499 16.609
Sm 0.000 2.499 20.985
Sm 2.164 1.249 8.304
Sm 2.164 1.249 12.680
Bi 0.000 0.000 14.678
Bi 0.000 2.499 6.373
Bi 2.164 1.249 22.982
Pb 0.000 0.000 10.464
Pb 0.000 2.499 2.160
Pb 2.164 1.249 18.769


11.
16
Lattice="7.871 0.000 0.000 0.000 7.871 0.000 0.000 0.000 7.871" Properties=species:S:1:pos:R:3 comment="PBE SmSnBiPb, relaxed" crystal_system=cubic rho_g_cm3=9.33 pbc="T T T"
Sm 0.000 0.000 0.000
Sm 0.000 3.935 3.935
Sm 3.935 0.000 3.935
Sm 3.935 3.935 0.000
Sn 1.968 1.968 5.903
Sn 1.968 5.903 1.968
Sn 5.903 1.968 1.968
Sn 5.903 5.903 5.903
Bi 1.968 1.968 1.968
Bi 1.968 5.903 5.903
Bi 5.903 1.968 5.903
Bi 5.903 5.903 1.968
Pb 0.000 0.000 3.935
Pb 0.000 3.935 0.000
Pb 3.935 0.000 0.000
Pb 3.935 3.935 3.935


12.
16
Lattice="8.076 0.000 0.000 0.000 8.076 0.000 0.000 0.000 8.076" Properties=species:S:1:pos:R:3 comment="PBE SrSmBiPb, relaxed" crystal_system=cubic rho_g_cm3=8.25 pbc="T T T"
Sr 0.000 0.000 0.000
Sr 0.000 4.038 4.038
Sr 4.038 0.000 4.038
Sr 4.038 4.038 0.000
Sm 0.000 0.000 4.038
Sm 0.000 4.038 0.000
Sm 4.038 0.000 0.000
Sm 4.038 4.038 4.038
Bi 2.019 2.019 6.057
Bi 2.019 6.057 2.019
Bi 6.057 2.019 2.019
Bi 6.057 6.057 6.057
Pb 2.019 2.019 2.019
Pb 2.019 6.057 6.057
Pb 6.057 2.019 6.057
Pb 6.057 6.057 2.019


Number 1: formation energy from the elements -0.5614 eV per atom. Number 2: formation energy from the elements 0.1436 eV per atom. Number 3: formation energy from the elements -0.4994 eV per atom. Number 4: formation energy from the elements -0.6651 eV per atom. Number 5: formation energy from the elements -0.5448 eV per atom. Number 6: formation energy from the elements -0.7243 eV per atom. Number 7: formation energy from the elements -0.5571 eV per atom. Number 8: formation energy from the elements -0.1601 eV per atom. Number 9: formation energy from the elements -0.5081 eV per atom. Number 10: formation energy from the elements -0.5662 eV per atom. Number 11: formation energy from the elements -0.2358 eV per atom. Number 12: formation energy from the elements -0.5118 eV per atom.